The following is a PBE calculation of a geometry-optimized Pm2Pr5 structure, from Alexandria.

Lattice parameters (Å, degrees): 5.8656 5.8656 9.0350 71.06 71.06 60.00
Element x y z (fractional)
Pm 0.6563 0.6563 0.0310
Pr 0.7951 0.7951 0.6146
Pr 0.5000 0.5000 0.5000
Pm 0.3437 0.3437 0.9690
Pr 0.9318 0.9318 0.2046
Pr 0.2049 0.2049 0.3854
Pr 0.0682 0.0682 0.7954

## Properties
VASP energy = -4.651 eV/atom
Symmetry = R-3m (166)
Distance to the lowest polymorph of the same formula = 0.0233 eV/atom
Formation energy = 120 meV/atom
Magnetization = 0.0002 μB/atom